# 1
The following is a DFT calculation (PBE with a Hubbard U) of crystalline VF4 at its relaxed geometry.

Calculated values
crystal system = monoclinic

```
VF4
1.0
5.019 0.000 0.000
0.000 3.084 0.000
-4.640 0.000 9.521
V F
2 8
Cartesian
-1.160 0.732 2.380
-3.480 2.351 7.140
0.267 0.734 1.335
-2.054 2.349 6.095
-2.746 0.809 8.142
-0.426 2.275 3.381
0.804 0.809 6.139
3.124 2.275 1.379
2.432 0.734 3.425
0.112 2.349 8.186
```

# 2
The following is a DFT calculation (PBE with a Hubbard U) of crystalline VF at its relaxed geometry.

Calculated values
crystal system = orthorhombic

```
VF
1.0
3.024 0.000 0.000
0.000 11.545 0.000
0.000 0.000 5.443
V F
6 6
Cartesian
0.756 1.459 0.508
0.756 4.313 0.508
0.756 8.659 2.919
2.268 2.886 2.525
2.268 7.232 4.936
2.268 10.085 4.936
0.756 2.886 4.113
0.756 5.831 4.377
0.756 11.486 4.377
2.268 0.059 1.067
2.268 5.713 1.067
2.268 8.659 1.330
```

# 3
The following is a DFT calculation (PBE with a Hubbard U) of crystalline VF at its relaxed geometry.

Calculated values
crystal system = cubic

```
VF
1.0
-3.449 3.449 3.449
3.449 -3.449 3.449
3.449 3.449 -3.449
V F
4 4
Cartesian
0.831 0.831 -0.831
0.831 -0.831 0.831
-0.831 0.831 0.831
2.618 2.618 2.618
2.040 2.040 -2.040
2.040 -2.040 2.040
1.409 1.409 1.409
-2.040 2.040 2.040
```

no.,calculated total energy (eV/atom)
1,-5.603
2,-5.688
3,-4.761